(1)
Computed, not measured: TmHfIr2 after structural relaxation at the GGA-PBEsol level of DFT.

```
4
Lattice="-4.036 -0.410 -2.254 -1.218 -4.076 -1.856 -3.463 -2.460 1.871" Properties=species:S:1:pos:R:3 pbc="T T T"
Tm 0.000 0.000 0.000
Hf -4.358 -3.473 -1.119
Ir -2.179 -1.736 -0.560
Ir -6.538 -5.209 -1.679
```

Computed properties:
- Size of the total moment: 0.0 μB/cell
- Mass density: 17.193 g/cm³
- Formation energy from the elements: -84.5 kJ/mol of atoms

(2)
Computed, not measured: Y2HfIr2 after structural relaxation at the GGA-PBEsol level of DFT.

```
10
Lattice="4.327 0.000 0.000 0.000 6.975 0.000 0.000 0.000 6.975" Properties=species:S:1:pos:R:3 pbc="T T T"
Y 2.163 1.201 4.689
Y 2.163 4.689 5.774
Y 2.163 5.774 2.286
Y 2.163 2.286 1.201
Ir 0.000 2.529 6.017
Ir 0.000 6.017 4.446
Ir 0.000 4.446 0.958
Ir 0.000 0.958 2.529
Hf 0.000 0.000 0.000
Hf 0.000 3.488 3.488
```

Computed properties:
- Size of the total moment: 0.0 μB/cell
- Mass density: 11.686 g/cm³
- Formation energy from the elements: -68.5 kJ/mol of atoms

(3)
Computed, not measured: YHf2Ir after structural relaxation at the GGA-PBEsol level of DFT.

```
4
Lattice="-2.177 3.594 2.236 0.747 0.714 4.646 2.515 3.770 1.454" Properties=species:S:1:pos:R:3 pbc="T T T"
Y 0.000 0.000 0.000
Ir 0.543 4.039 4.168
Hf 0.271 2.020 2.084
Hf 0.814 6.059 6.252
```

Computed properties:
- Size of the total moment: 0.0 μB/cell
- Mass density: 13.896 g/cm³
- Formation energy from the elements: -20.2 kJ/mol of atoms

(4)
Computed, not measured: HfZnIr3 after structural relaxation at the GGA-PBEsol level of DFT.

```
5
Lattice="-2.224 -1.692 3.837 3.975 0.534 2.540 -1.336 4.403 1.167" Properties=species:S:1:pos:R:3 pbc="T T T"
Zn 0.207 1.623 3.772
Ir 1.988 0.267 1.270
Ir -0.668 2.202 0.583
Ir -1.112 -0.846 1.919
Hf 0.000 0.000 0.000
```

Computed properties:
- Size of the total moment: 0.0 μB/cell
- Mass density: 12.737 g/cm³
- Energy above the lowest structure with this stoichiometry: 921.2 meV/atom
- Formation energy from the elements: 159.0 kJ/mol of atoms

(5)
Computed, not measured: HfZnIr3 after structural relaxation at the GGA-PBEsol level of DFT.

```
5
Lattice="-2.260 3.625 -1.148 -1.955 0.038 3.968 3.262 2.534 1.583" Properties=species:S:1:pos:R:3 pbc="T T T"
Zn 0.000 0.000 0.000
Ir -0.977 0.019 1.984
Ir 1.631 1.267 0.791
Ir -1.130 1.813 -0.574
Hf -0.476 3.099 2.201
```

Computed properties:
- Size of the total moment: 0.0 μB/cell
- Mass density: 15.742 g/cm³
- Energy above the lowest structure with this stoichiometry: 0.0 meV/atom
- Formation energy from the elements: 70.2 kJ/mol of atoms

(6)
Computed, not measured: HfZrIr3 after structural relaxation at the GGA-PBEsol level of DFT.

```
5
Lattice="4.707 0.000 0.000 0.000 4.707 0.000 0.000 0.000 4.707" Properties=species:S:1:pos:R:3 pbc="T T T"
Ir 0.000 2.353 0.000
Ir 0.000 0.000 2.353
Ir 2.353 0.000 0.000
Hf 0.000 0.000 0.000
Zr 2.353 2.353 2.353
```

Computed properties:
- Size of the total moment: 0.0 μB/cell
- Mass density: 13.477 g/cm³
- Formation energy from the elements: 92.9 kJ/mol of atoms

(7)
Computed, not measured: Hf2ZrIr after structural relaxation at the GGA-PBEsol level of DFT.

```
4
Lattice="-0.295 -4.606 0.831 3.861 -2.658 -0.128 1.752 -1.784 3.967" Properties=species:S:1:pos:R:3 pbc="T T T"
Ir 2.659 -4.524 2.335
Hf 1.329 -2.262 1.168
Hf 3.988 -6.785 3.503
Zr 0.000 0.000 0.000
```

Computed properties:
- Size of the total moment: 0.0 μB/cell
- Mass density: 14.585 g/cm³
- Formation energy from the elements: -38.1 kJ/mol of atoms

(8)
Computed, not measured: KHfMg2 after structural relaxation at the GGA-PBEsol level of DFT.

```
8
Lattice="6.653 0.000 0.000 3.327 5.941 0.000 3.327 0.000 5.941" Properties=species:S:1:pos:R:3 pbc="T T T"
K 4.990 2.970 2.970
K 3.327 0.000 0.000
Hf 8.317 2.970 2.970
Hf 0.000 0.000 0.000
Mg 2.495 0.121 3.091
Mg 9.148 5.820 2.849
Mg 7.485 3.091 5.820
Mg 7.485 2.849 0.121
```

Computed properties:
- Size of the total moment: 1.9 μB/cell
- Mass density: 3.765 g/cm³
- Energy above the lowest structure with this stoichiometry: 309.1 meV/atom
- Formation energy from the elements: 97.4 kJ/mol of atoms

(9)
Computed, not measured: KHfMg2 after structural relaxation at the GGA-PBEsol level of DFT.

```
4
Lattice="-4.999 -0.718 1.698 -3.906 -0.884 -3.514 -2.256 -4.816 -0.319" Properties=species:S:1:pos:R:3 pbc="T T T"
K 0.000 0.000 0.000
Hf -5.580 -3.209 -1.068
Mg -2.790 -1.605 -0.534
Mg -8.371 -4.814 -1.601
```

Computed properties:
- Size of the total moment: 0.0 μB/cell
- Mass density: 4.133 g/cm³
- Energy above the lowest structure with this stoichiometry: 0.0 meV/atom
- Formation energy from the elements: 67.6 kJ/mol of atoms

(10)
Computed, not measured: KHfMo2 after structural relaxation at the GGA-PBEsol level of DFT.

```
4
Lattice="4.766 0.000 0.000 2.383 4.127 0.000 2.383 1.376 3.891" Properties=species:S:1:pos:R:3 pbc="T T T"
Mo 2.383 1.376 0.973
Mo 7.148 4.127 2.918
Hf 4.766 2.751 1.946
K 0.000 0.000 0.000
```

Computed properties:
- Size of the total moment: 0.0 μB/cell
- Mass density: 8.885 g/cm³
- Formation energy from the elements: 153.7 kJ/mol of atoms

(11)
Computed, not measured: K2HfN after structural relaxation at the GGA-PBEsol level of DFT.

```
8
Lattice="4.088 0.000 0.000 2.044 8.509 0.000 2.044 0.000 8.509" Properties=species:S:1:pos:R:3 pbc="T T T"
K 6.642 7.010 5.753
K 2.555 1.498 2.756
K 3.577 5.753 1.498
K 3.577 2.756 7.010
Hf 0.000 0.000 0.000
Hf 5.110 4.254 4.254
N 2.044 0.000 0.000
N 3.066 4.254 4.254
```

Computed properties:
- Size of the total moment: 0.0 μB/cell
- Mass density: 3.038 g/cm³
- ΔE_f (raw): 0.139 eV/atom

(12)
Computed, not measured: KHf2ScN after structural relaxation at the GGA-PBEsol level of DFT.

```
5
Lattice="-1.806 2.431 3.323 3.130 -1.944 3.125 3.127 3.569 -0.912" Properties=species:S:1:pos:R:3 pbc="T T T"
Sc 2.225 2.028 2.768
K 0.000 0.000 0.000
Hf 1.563 1.784 -0.456
Hf 1.565 -0.972 1.562
N -0.903 1.216 1.661
```

Computed properties:
- Size of the total moment: 0.0 μB/cell
- Mass density: 7.200 g/cm³
- ΔE_f (raw): 2.202 eV/atom

Number 1: D(E_F) 3.1 states/eV per cell. Number 2: D(E_F) 6.1 states/eV per cell. Number 3: D(E_F) 4.7 states/eV per cell. Number 4: D(E_F) 6.2 states/eV per cell. Number 5: D(E_F) 4.3 states/eV per cell. Number 6: D(E_F) 4.6 states/eV per cell. Number 7: D(E_F) 4.6 states/eV per cell. Number 8: D(E_F) 10.2 states/eV per cell. Number 9: D(E_F) 3.3 states/eV per cell. Number 10: D(E_F) 6.9 states/eV per cell. Number 11: D(E_F) 6.3 states/eV per cell. Number 12: D(E_F) 5.9 states/eV per cell.